[1]
DFT (meta-GGA SCAN) results for a PBEsol-optimized structure of Al2NiHg.

Cell lengths 6.280, 6.280, 6.280 Å; angles 90.00, 90.00, 90.00 degrees
Space group F-43m (No. 216)
Symmetry-distinct sites (fractional):
Al 0.000 0.000 0.000 (multiplicity 4)
Al 0.250 0.250 0.250 (multiplicity 4)
Ni 0.250 0.250 0.750 (multiplicity 4)
Hg 0.000 0.000 0.500 (multiplicity 4)

Calculated values
- VASP energy (eV/cell) = -397.26
- formation energy from the elements (eV/atom) = 0.132
- crystal system = cubic

[2]
DFT (meta-GGA SCAN) results for a PBEsol-optimized structure of Al2NiHg.

Cell lengths 2.875, 2.875, 7.539 Å; angles 90.00, 90.00, 90.00 degrees
Space group P4/mmm (No. 123)
Symmetry-distinct sites (fractional):
Al 0.000 0.000 0.190 (multiplicity 2)
Ni 0.500 0.500 0.000 (multiplicity 1)
Hg 0.500 0.500 0.500 (multiplicity 1)

Calculated values
- VASP energy (eV/cell) = -100.73
- formation energy from the elements (eV/atom) = -0.222
- crystal system = tetragonal

[3]
DFT (meta-GGA SCAN) results for a PBEsol-optimized structure of Al2NiHg.

Cell lengths 3.873, 3.873, 8.039 Å; angles 90.00, 90.00, 90.00 degrees
Space group I-4m2 (No. 119)
Symmetry-distinct sites (fractional):
Al 0.000 0.000 0.000 (multiplicity 2)
Al 0.000 0.500 0.250 (multiplicity 2)
Ni 0.000 0.500 0.750 (multiplicity 2)
Hg 0.000 0.000 0.500 (multiplicity 2)

Calculated values
- VASP energy (eV/cell) = -200.24
- formation energy from the elements (eV/atom) = -0.069
- crystal system = tetragonal

[4]
DFT (meta-GGA SCAN) results for a PBEsol-optimized structure of Al2NiHg.

Cell lengths 2.9460, 2.9460, 25.2794 Å; angles 90.00, 90.00, 120.00 degrees
Space group R3m (No. 160, hexagonal axes)
Symmetry-distinct sites (fractional):
Al 0.0000 0.0000 0.0000 (multiplicity 3)
Al 0.0000 0.0000 0.2444 (multiplicity 3)
Ni 0.0000 0.0000 0.5109 (multiplicity 3)
Hg 0.0000 0.0000 0.7608 (multiplicity 3)

Calculated values
- VASP energy (eV/cell) = -299.48
- formation energy from the elements (eV/atom) = 0.004
- crystal system = trigonal

[5]
DFT (meta-GGA SCAN) results for a PBEsol-optimized structure of AlNi2Hg.

Cell lengths 2.876, 2.876, 6.436 Å; angles 90.00, 90.00, 90.00 degrees
Space group P4/mmm (No. 123)
Symmetry-distinct sites (fractional):
Al 0.000 0.000 0.000 (multiplicity 1)
Ni 0.500 0.500 0.212 (multiplicity 2)
Hg 0.000 0.000 0.500 (multiplicity 1)

Calculated values
- VASP energy (eV/cell) = -109.33
- formation energy from the elements (eV/atom) = -0.266
- crystal system = tetragonal

[6]
DFT (meta-GGA SCAN) results for a PBEsol-optimized structure of AlNi2Hg.

Cell lengths 3.978, 3.978, 3.384 Å; angles 90.00, 90.00, 90.00 degrees
Space group P4/mmm (No. 123)
Symmetry-distinct sites (fractional):
Al 0.000 0.000 0.000 (multiplicity 1)
Ni 0.000 0.500 0.500 (multiplicity 2)
Hg 0.500 0.500 0.000 (multiplicity 1)

Calculated values
- VASP energy (eV/cell) = -108.88
- formation energy from the elements (eV/atom) = -0.154
- crystal system = tetragonal

no.,total moment (μB per cell),density of states at the Fermi level (states/eV per cell)
1,0.000,10.02
2,0.000,1.67
3,0.000,3.86
4,0.000,5.14
5,0.000,2.52
6,0.001,2.69